A relaxed SrUMn2O8 crystal. Source: Alexandria, functional PBE+U.

Cell lengths 6.970, 6.970, 6.970 Å; angles 136.17, 136.17, 63.72 degrees
Fractional positions:
Sr1 0.000 0.000 0.000
U1 0.250 0.750 0.500
Mn1 0.500 0.500 0.000
Mn2 0.750 0.250 0.500
O1 0.285 0.666 0.107
O2 0.334 0.441 0.619
O3 0.402 0.012 0.018
O4 0.559 0.178 0.893
O5 0.616 0.598 0.610
O6 0.822 0.715 0.381
O7 0.988 0.006 0.390
O8 0.994 0.384 0.982

**V**: 13.36 A^3/atom
**Crystal system**: tetragonal
**E_tot**: -7.70 eV/atom
**Magnetization**: 6.0 Bohr magnetons per cell